Record 1
## AcEu2Au (PBE-GGA)

Data for an optimized crystal structure of AcEu2Au.

Results
Total moment (μB per formula unit): 14.70
Calculated formation energy (eV per atom): -0.182
Excess energy over the best structure of this formula in the dataset (meV/atom): 193

```
4
Lattice="1.980 1.143 11.544 -1.980 1.143 11.544 0.000 -2.286 11.544" Properties=species:S:1:pos:R:3 pbc="T T T"
Ac 0.000 0.000 0.000
Eu 0.000 0.000 3.762
Eu 0.000 0.000 30.870
Au 0.000 0.000 17.316
```

Record 2
## AlTeIrN2 (PBE-GGA)

Data for an optimized crystal structure of AlTeIrN2.

Results
Total moment (μB per formula unit): 0.39
Raw formation energy (eV per atom): 1.10
Excess energy over the best structure of this formula in the dataset (meV/atom): 278

```
5
Lattice="3.665 0.000 0.000 0.000 3.665 0.000 0.000 0.000 8.045" Properties=species:S:1:pos:R:3 pbc="T T T"
Al 0.000 0.000 0.000
Te 0.000 0.000 4.023
Ir 1.832 1.832 4.023
N 0.000 1.832 0.000
N 1.832 0.000 0.000
```

Record 3
## BeReAs2 (PBE-GGA)

Data for an optimized crystal structure of BeReAs2.

Results
Total moment (μB per formula unit): 0.00
Calculated formation energy (eV per atom): 0.369

```
4
Lattice="3.158 0.000 0.000 0.000 3.158 0.000 0.000 0.000 5.838" Properties=species:S:1:pos:R:3 pbc="T T T"
Be 0.000 0.000 0.000
Re 0.000 0.000 2.919
As 1.579 1.579 1.457
As 1.579 1.579 4.382
```

Record 4
## KPaO3 (PBE-GGA)

Data for an optimized crystal structure of KPaO3.

Results
Total moment (μB per formula unit): 0.00
Raw formation energy (eV per atom): -3.15

```
5
Lattice="4.384 0.000 0.000 0.000 4.384 0.000 0.000 0.000 4.384" Properties=species:S:1:pos:R:3 pbc="T T T"
K 0.000 0.000 0.000
Pa 2.192 2.192 2.192
O 0.000 2.192 2.192
O 2.192 0.000 2.192
O 2.192 2.192 0.000
```